Record 1
The following is a GGA-PBE calculation of crystalline BaAsRh2N at its relaxed geometry, from Alexandria.

Calculated values
Formation energy from raw total energies (eV/atom): -0.43
Magnetization (μB/f.u.): 0.000

Structure (POSCAR):
```
BaAsRh2N
1.0
2.1007 -5.8287 0.0000
2.1007 5.8287 0.0000
0.0000 0.0000 7.3626
Ba As Rh N
2 2 4 2
Cartesian
2.1007 5.3009 5.5219
2.1007 -5.3009 1.8406
2.1007 3.1630 1.8406
2.1007 -3.1630 5.5219
2.1007 1.8942 4.0593
2.1007 1.8942 6.9846
2.1007 -1.8942 0.3780
2.1007 -1.8942 3.3033
2.1007 0.0000 0.0000
2.1007 0.0000 3.6813
```

=====

Record 2
The following is a GGA-PBE calculation of crystalline NbN2Cl6 at its relaxed geometry, from Alexandria.

Calculated values
Formation energy from raw total energies (eV/atom): 0.43
Magnetization (μB/f.u.): 4.943

Structure (POSCAR):
```
NbN2Cl6
1.0
0.0000 5.1142 5.1142
5.1142 0.0000 5.1142
5.1142 5.1142 0.0000
Nb N Cl
1 2 6
Cartesian
0.0000 0.0000 0.0000
2.5571 2.5571 2.5571
7.6712 7.6712 7.6712
5.1142 5.1142 2.3742
5.1142 2.3742 5.1142
7.8541 5.1142 5.1142
2.3742 5.1142 5.1142
5.1142 7.8541 5.1142
5.1142 5.1142 7.8541
```

=====

Record 3
The following is a GGA-PBE calculation of crystalline PmScOs at its relaxed geometry, from Alexandria.

Calculated values
Magnetization (μB/f.u.): 0.000
Excess energy over the best structure of this formula in the dataset (eV/f.u.): 0.235

Structure (POSCAR):
```
PmScOs
1.0
0.0000 3.3259 3.3259
3.3259 0.0000 3.3259
3.3259 3.3259 0.0000
Pm Sc Os
1 1 1
Cartesian
0.0000 0.0000 0.0000
3.3259 3.3259 3.3259
1.6630 1.6630 1.6630
```

=====

Record 4
The following is a GGA-PBE calculation of crystalline Pu3As2P at its relaxed geometry, from Alexandria.

Calculated values
Magnetization (μB/f.u.): 14.970

Structure (POSCAR):
```
Pu3As2P
1.0
3.5466 -6.1452 0.0000
3.5466 6.1452 0.0000
-2.3654 0.0000 6.6828
Pu As P
6 4 2
Cartesian
1.7733 3.0726 0.0000
0.5252 0.9887 3.3347
-0.6575 -0.9887 6.6761
0.5906 -3.0726 3.3414
5.3854 0.9887 0.0067
4.2027 -0.9887 3.3481
1.7726 3.0380 5.0121
2.9553 1.0199 1.6707
1.7726 -1.0199 5.0121
2.9553 -3.0380 1.6707
2.9553 5.0927 1.6707
1.7726 -5.0927 5.0121
```

=====

Record 5
The following is a GGA-PBE calculation of crystalline ScTa2 at its relaxed geometry, from Alexandria.

Calculated values
Magnetization (μB/f.u.): 0.000
Excess energy over the best structure of this formula in the dataset (eV/f.u.): 0.337

Structure (POSCAR):
```
ScTa2
1.0
2.9873 0.0000 0.0000
-1.4936 2.5871 0.0000
0.0000 0.0000 7.6325
Sc Ta
1 2
Cartesian
0.0000 0.0000 0.0000
0.0000 1.7247 5.0702
1.4936 0.8624 2.5622
```

=====

Record 6
The following is a GGA-PBE calculation of crystalline Rb2NaTl2In at its relaxed geometry, from Alexandria.

Calculated values
Magnetization (μB/f.u.): 0.000

Structure (POSCAR):
```
Rb2NaTl2In
1.0
-3.7719 8.8219 3.7021
3.7719 -8.8219 3.7021
3.7719 8.8219 -3.7021
Rb Na Tl In
4 2 4 2
Cartesian
1.8254 3.0344 0.0000
1.8254 -3.0344 3.7021
1.9465 11.8564 0.0000
1.9465 5.7875 3.7021
0.0000 0.0000 1.8511
0.0000 0.0000 5.5532
5.4751 1.7768 0.0000
1.7033 7.0452 0.0000
2.0686 1.7768 3.7021
-1.7033 7.0452 3.7021
3.7719 0.0000 1.8511
0.0000 8.8219 1.8511
```

=====

Record 7
The following is a GGA-PBE calculation of crystalline CuIr5 at its relaxed geometry, from Alexandria.

Calculated values
Magnetization (μB/f.u.): 0.100
Excess energy over the best structure of this formula in the dataset (eV/f.u.): 3.789

Structure (POSCAR):
```
CuIr5
1.0
0.0000 3.6189 3.6189
3.6189 0.0000 3.6189
3.6189 3.6189 0.0000
Cu Ir
1 5
Cartesian
0.0000 0.0000 0.0000
4.5239 2.7139 2.7139
1.8095 1.8095 1.8095
2.7139 4.5239 2.7139
2.7139 2.7139 4.5239
4.5239 4.5239 4.5239
```

=====

Record 8
The following is a GGA-PBE calculation of crystalline Cs2SiPbSe4 at its relaxed geometry, from Alexandria.

Calculated values
Formation energy from raw total energies (eV/atom): -0.81
Magnetization (μB/f.u.): 0.000

Structure (POSCAR):
```
Cs2SiPbSe4
1.0
0.0000 7.3127 13.0480
3.4658 0.0000 13.0480
3.4658 7.3127 0.0000
Cs Si Pb Se
4 2 2 8
Cartesian
2.5994 5.4846 1.4767
4.3323 9.1409 8.0007
2.5994 5.4846 18.0954
4.3323 9.1409 24.6194
2.5994 5.4846 9.7860
4.3323 9.1409 16.3101
0.8665 1.8282 3.2620
6.0652 12.7973 22.8341
3.8658 4.1014 8.4323
3.8658 6.8677 11.1397
5.5987 7.7578 17.6638
5.5987 10.5240 14.9563
1.3329 4.1014 11.1397
1.3329 6.8677 8.4323
3.0659 7.7578 14.9563
3.0659 10.5240 17.6638
```

=====

Record 9
The following is a GGA-PBE calculation of crystalline RbNpBeS4 at its relaxed geometry, from Alexandria.

Calculated values
Formation energy from raw total energies (eV/atom): -1.10
Magnetization (μB/f.u.): 2.014

Structure (POSCAR):
```
RbNpBeS4
1.0
6.1411 0.0000 0.0000
0.0000 6.3002 0.0000
-2.9997 0.0000 8.5903
Rb Np Be S
2 2 2 8
Cartesian
0.1347 1.5751 3.8261
3.0067 4.7252 4.7642
-1.2258 1.5751 8.1333
4.3672 4.7252 0.4570
1.2327 4.7252 1.3426
1.9087 1.5751 7.2477
-2.4051 4.7252 7.9589
-0.3794 4.7252 2.6483
0.5716 3.1801 6.9338
0.5716 6.2703 6.9338
2.5698 0.0300 1.6565
2.5698 3.1202 1.6565
3.5208 1.5751 5.9420
5.5465 1.5751 0.6314
```

=====

Record 10
The following is a GGA-PBE calculation of crystalline SrY2Cd at its relaxed geometry, from Alexandria.

Calculated values
Magnetization (μB/f.u.): 0.001

Structure (POSCAR):
```
SrY2Cd
1.0
3.7812 0.0000 0.0000
0.0000 5.4155 0.0000
-1.7814 0.0000 6.5568
Sr Y Cd
1 2 1
Cartesian
0.0000 0.0000 0.0000
-0.0113 2.7078 4.6944
2.0111 2.7078 1.8624
0.9999 0.0000 3.2784
```

=====

Record 11
The following is a GGA-PBE calculation of crystalline LaGa3Cl at its relaxed geometry, from Alexandria.

Calculated values
Formation energy from raw total energies (eV/atom): -0.04
Magnetization (μB/f.u.): 0.000
Excess energy over the best structure of this formula in the dataset (eV/f.u.): 0.000

Structure (POSCAR):
```
LaGa3Cl
1.0
5.2788 0.0000 0.0000
0.0000 5.2788 0.0000
0.0000 0.0000 5.2788
La Ga Cl
1 3 1
Cartesian
0.0000 0.0000 0.0000
0.0000 2.6394 2.6394
2.6394 0.0000 2.6394
2.6394 2.6394 0.0000
2.6394 2.6394 2.6394
```

=====

Record 12
The following is a GGA-PBE calculation of crystalline Nd7Sb2Te2 at its relaxed geometry, from Alexandria.

Calculated values
Formation energy from raw total energies (eV/atom): -0.63
Magnetization (μB/f.u.): 0.000

Structure (POSCAR):
```
Nd7Sb2Te2
1.0
4.8155 -5.6551 0.0000
4.8155 5.6551 0.0000
0.0000 0.0000 7.0042
Nd Sb Te
7 2 2
Cartesian
0.0000 0.0000 0.0000
2.4077 2.8276 1.8842
2.4077 2.8276 5.1200
2.4077 -2.8276 1.8842
2.4077 -2.8276 5.1200
4.8155 0.0000 1.8256
4.8155 0.0000 5.1786
1.9485 0.0000 3.5021
7.6825 0.0000 3.5021
4.8155 2.5330 0.0000
4.8155 -2.5330 0.0000
```

=====

Record 13
The following is a GGA-PBE calculation of crystalline RbLuSn2 at its relaxed geometry, from Alexandria.

Calculated values
Magnetization (μB/f.u.): 0.000

Structure (POSCAR):
```
RbLuSn2
1.0
4.0242 0.0000 0.0000
0.0000 4.0242 0.0000
0.0000 0.0000 8.2069
Rb Lu Sn
1 1 2
Cartesian
0.0000 0.0000 0.0000
0.0000 0.0000 4.1035
2.0121 2.0121 2.6333
2.0121 2.0121 5.5737
```

=====

Record 14
The following is a GGA-PBE calculation of crystalline InTe3Br at its relaxed geometry, from Alexandria.

Calculated values
Formation energy from raw total energies (eV/atom): 0.48
Magnetization (μB/f.u.): 0.000
Excess energy over the best structure of this formula in the dataset (eV/f.u.): 0.000

Structure (POSCAR):
```
InTe3Br
1.0
5.6862 0.0000 0.0000
0.0000 5.6862 0.0000
0.0000 0.0000 5.6862
In Te Br
1 3 1
Cartesian
0.0000 0.0000 0.0000
0.0000 0.0000 2.8431
0.0000 2.8431 0.0000
2.8431 0.0000 0.0000
2.8431 2.8431 2.8431
```

=====

Record 15
The following is a GGA-PBE calculation of crystalline LiSm2Cu at its relaxed geometry, from Alexandria.

Calculated values
Magnetization (μB/f.u.): 0.000

Structure (POSCAR):
```
LiSm2Cu
1.0
3.6344 0.0000 0.0000
0.0000 3.6344 0.0000
0.0000 0.0000 7.4102
Li Sm Cu
1 2 1
Cartesian
0.0000 0.0000 0.0000
1.8172 1.8172 2.0384
1.8172 1.8172 5.3718
0.0000 0.0000 3.7051
```

=====

Record 16
The following is a GGA-PBE calculation of crystalline Tm7GaS5 at its relaxed geometry, from Alexandria.

Calculated values
Formation energy from raw total energies (eV/atom): -1.61
Magnetization (μB/f.u.): 0.000

Structure (POSCAR):
```
Tm7GaS5
1.0
6.3598 -1.9176 0.0000
6.3598 1.9176 0.0000
-0.0093 0.0000 22.9095
Tm Ga S
14 2 10
Cartesian
0.3092 0.0000 5.7284
1.7475 0.0000 12.2712
1.7424 0.0000 22.0930
4.0333 0.0000 4.0497
4.0280 0.0000 7.4047
5.1686 0.0000 14.0408
5.1628 0.0000 20.3209
7.5475 0.0000 2.5887
7.5417 0.0000 8.8687
8.6822 0.0000 15.5048
8.6770 0.0000 18.8598
10.9679 0.0000 0.8165
10.9628 0.0000 10.6384
12.4011 0.0000 17.1812
3.8686 0.0000 17.1854
8.8417 0.0000 5.7241
0.5957 0.0000 19.6954
0.6019 0.0000 14.6690
2.8760 0.0000 1.6315
2.8704 0.0000 9.8229
6.3598 0.0000 0.0000
6.3551 0.0000 11.4548
9.8399 0.0000 13.0866
9.8343 0.0000 21.2780
12.1084 0.0000 8.2405
12.1146 0.0000 3.2141
```

=====

Record 17
The following is a GGA-PBE calculation of crystalline SrAl2Zn at its relaxed geometry, from Alexandria.

Calculated values
Magnetization (μB/f.u.): 0.000

Structure (POSCAR):
```
SrAl2Zn
1.0
4.4401 0.0000 0.0000
0.0000 4.4401 0.0000
0.0000 0.0000 4.6097
Sr Al Zn
1 2 1
Cartesian
0.0000 0.0000 0.0000
0.0000 2.2200 2.3048
2.2200 0.0000 2.3048
2.2200 2.2200 0.0000
```

=====

Record 18
The following is a GGA-PBE calculation of crystalline Dy2Y3Ho3 at its relaxed geometry, from Alexandria.

Calculated values
Magnetization (μB/f.u.): 6.158
Excess energy over the best structure of this formula in the dataset (eV/f.u.): 1.717

Structure (POSCAR):
```
Dy2Y3Ho3
1.0
4.3918 2.5356 3.9668
-4.3918 2.5356 3.9668
0.0000 -5.0712 3.9668
Dy Y Ho
2 3 3
Cartesian
0.0000 0.0000 2.9652
0.0000 0.0000 8.9352
-1.0332 -1.7895 5.9502
-1.0332 1.7895 5.9502
2.0664 0.0000 5.9502
-3.3674 0.7613 3.9668
1.0244 -3.2969 3.9668
2.3430 2.5356 3.9668
```

=====

Record 19
The following is a GGA-PBE calculation of crystalline PrNdPdPt at its relaxed geometry, from Alexandria.

Calculated values
Magnetization (μB/f.u.): 0.000
Excess energy over the best structure of this formula in the dataset (eV/f.u.): 0.000

Structure (POSCAR):
```
PrNdPdPt
1.0
4.6069 0.0000 0.0000
0.0000 1.9693 5.4583
0.0000 -1.9693 5.4583
Pr Nd Pd Pt
1 1 1 1
Cartesian
0.0000 0.0000 0.0000
2.3035 0.0000 7.9318
2.3035 0.0000 4.8994
0.0000 0.0000 3.0152
```

=====

Record 20
The following is a GGA-PBE calculation of crystalline Sn2SbAs at its relaxed geometry, from Alexandria.

Calculated values
Formation energy from raw total energies (eV/atom): 0.44
Magnetization (μB/f.u.): 0.000
Excess energy over the best structure of this formula in the dataset (eV/f.u.): 1.641

Structure (POSCAR):
```
Sn2SbAs
1.0
2.1876 1.2630 8.6217
-2.1876 1.2630 8.6217
0.0000 -2.5260 8.6217
Sn Sb As
2 1 1
Cartesian
0.0000 0.0000 2.5990
0.0000 0.0000 23.2661
0.0000 0.0000 12.9326
0.0000 0.0000 0.0000
```

=====

So what do the calculations give for DFT total energy? Going down the list: -6.346, -3.768, -7.553, -10.673, -9.743, -1.863, -7.338, -3.906, -5.983, -3.841, -3.215, -4.989, -3.742, -2.292, -3.898, -5.837, -2.560, -5.053, -6.169, -3.758 eV/atom.
So what do the calculations give for D(E_F)? Going down the list: 3.83, 14.73, 2.06, 28.05, 4.40, 4.14, 13.07, 0.00, 8.26, 4.89, 3.48, 12.09, 1.73, 7.47, 3.33, 6.14, 2.98, 14.24, 2.67, 3.18 states/eV/f.u..